VASP calculation (PBE) on an optimized crystal structure of TmGaAs.

Cell: 8.340 8.340 8.340 Å, 32.32 32.32 32.32°
Positions (direct):
Tm 0.091 0.091 0.091
Tm 0.909 0.909 0.909
Ga 0.325 0.325 0.325
Ga 0.675 0.675 0.675
As 0.216 0.216 0.216
As 0.784 0.784 0.784

Values from the calculation:
E: -4.72 eV per atom
Energy relative to the elements: -0.669 eV per atom
Symmetry: R-3m